Computed, not measured: ZrCd2Tc after structural relaxation at the PBE-GGA level of DFT.

Summary:
ΔH_f (0 K), meV/atom: 286
Crystal system: trigonal
Total DFT energy (no corrections), eV/atom: -4.900
Total magnetization, μB/cell: 0.00
Relative energy among the computed polymorphs, meV per atom: 287.9
Symmetry: R-3m, No. 166

```
ZrCd2Tc
1.0
-3.5951 -0.8152 -9.6674
-0.8340 -1.7461 -10.1638
-2.8927 -3.6539 -9.2374
Cd Tc Zr
2 1 1
Direct
0.9941 0.9941 0.9941
0.5059 0.5059 0.5059
0.2500 0.2500 0.2500
0.7500 0.7500 0.7500
```